Computed, not measured: an optimized crystal structure of KLaAl4 at the PBE level of DFT.

abc: 5.8067 5.8067 5.8067
angles: 60.00 60.00 60.00
Positions (direct):
Al: 0.3741 0.3741 0.8777
Al: 0.3741 0.3741 0.3741
La: 0.0000 0.0000 0.0000
Al: 0.3741 0.8777 0.3741
Al: 0.8777 0.3741 0.3741
K: 0.7500 0.7500 0.7500

Energy of formation ... -75 kJ/mol of formula units
DFT total energy ... -3.6279 eV per atom
Total moment ... 0.0 Bohr magnetons per cell